Density functional theory data (PBE) for a geometry-optimized TiPt3Rh structure.

Unit cell a=7.4353 b=7.4353 c=5.5865 alpha=101.62 beta=101.62 gamma=30.24
Fractional coordinates of all 10 atoms:
1 Ti 0.1072 0.1072 0.0601
2 Ti 0.8928 0.8928 0.9399
3 Pt 0.1042 0.1042 0.5526
4 Pt 0.2993 0.2993 0.1509
5 Pt 0.4994 0.4994 0.7557
6 Pt 0.5006 0.5006 0.2443
7 Pt 0.7007 0.7007 0.8491
8 Pt 0.8958 0.8958 0.4474
9 Rh 0.3057 0.3057 0.6600
10 Rh 0.6943 0.6943 0.3400

Values from the calculation:
energy of formation = -0.628 eV per atom
relative energy among the computed polymorphs = 0.000 eV per atom
Fermi-level density of states = 1.002 states/eV per atom

---

Density functional theory data (PBE) for a geometry-optimized SrCaPtAu structure.

Unit cell a=5.1895 b=5.1895 c=5.1895 alpha=60.00 beta=60.00 gamma=60.00
Fractional coordinates of all 4 atoms:
1 Sr 0.0000 0.0000 0.0000
2 Ca 0.5000 0.5000 0.5000
3 Pt 0.7500 0.7500 0.7500
4 Au 0.2500 0.2500 0.2500

Values from the calculation:
energy of formation = -0.770 eV per atom
relative energy among the computed polymorphs = 0.059 eV per atom
Fermi-level density of states = 0.846 states/eV per atom

---

Density functional theory data (PBE) for a geometry-optimized VHgPb2 structure.

Unit cell a=11.8674 b=11.8674 c=11.8674 alpha=15.94 beta=15.94 gamma=15.94
Fractional coordinates of all 4 atoms:
1 V 0.0000 0.0000 0.0000
2 Hg 0.5000 0.5000 0.5000
3 Pb 0.0828 0.0828 0.0828
4 Pb 0.9172 0.9172 0.9172

Values from the calculation:
energy of formation = 0.624 eV per atom
Fermi-level density of states = 1.177 states/eV per atom

---

Density functional theory data (PBE) for a geometry-optimized RbMgZn2Ir structure.

Unit cell a=5.0010 b=5.0010 c=5.0669 alpha=90.00 beta=90.00 gamma=90.00
Fractional coordinates of all 5 atoms:
1 Rb 0.0000 0.0000 0.0000
2 Mg 0.5000 0.5000 0.0000
3 Zn 0.0000 0.5000 0.5000
4 Zn 0.5000 0.0000 0.5000
5 Ir 0.5000 0.5000 0.5000

Values from the calculation:
energy of formation = -0.072 eV per atom
Fermi-level density of states = 0.438 states/eV per atom

---

Density functional theory data (PBE) for a geometry-optimized Nb6ReRu2 structure.

Unit cell a=7.5669 b=7.5669 c=7.5669 alpha=146.16 beta=131.89 gamma=60.11
Fractional coordinates of all 9 atoms:
1 Nb 0.0832 0.3333 0.7499
2 Nb 0.2498 0.0000 0.2498
3 Nb 0.4166 0.6667 0.7499
4 Nb 0.5834 0.3333 0.2501
5 Nb 0.7502 0.0000 0.7502
6 Nb 0.9168 0.6667 0.2501
7 Re 0.5000 0.5000 0.0000
8 Ru 0.1675 0.1675 0.0000
9 Ru 0.8325 0.8325 0.0000

Values from the calculation:
energy of formation = 0.276 eV per atom
Fermi-level density of states = 0.601 states/eV per atom

---

Density functional theory data (PBE) for a geometry-optimized CaLa2S2I2 structure.

Unit cell a=9.2089 b=9.2089 c=9.2089 alpha=147.20 beta=147.20 gamma=47.07
Fractional coordinates of all 7 atoms:
1 Ca 0.0000 0.0000 0.0000
2 La 0.4034 0.4034 0.0000
3 La 0.5966 0.5966 0.0000
4 S 0.0000 0.5000 0.5000
5 S 0.5000 0.0000 0.5000
6 I 0.1874 0.1874 0.0000
7 I 0.8126 0.8126 0.0000

Values from the calculation:
ΔE_f (raw) = -1.5340 eV/atom
Fermi-level density of states = 0.519 states/eV per atom

---

Density functional theory data (PBE) for a geometry-optimized NaTi3Sb structure.

Unit cell a=4.6901 b=4.6901 c=4.6901 alpha=90.00 beta=90.00 gamma=90.00
Fractional coordinates of all 5 atoms:
1 Na 0.0000 0.0000 0.0000
2 Ti 0.0000 0.0000 0.5000
3 Ti 0.0000 0.5000 0.0000
4 Ti 0.5000 0.0000 0.0000
5 Sb 0.5000 0.5000 0.5000

Values from the calculation:
ΔE_f (raw) = 1.2296 eV/atom
relative energy among the computed polymorphs = 0.368 eV per atom
Fermi-level density of states = 0.733 states/eV per atom

---

Density functional theory data (PBE) for a geometry-optimized LiAcRhN structure.

Unit cell a=4.0746 b=4.0746 c=8.9080 alpha=90.00 beta=90.00 gamma=90.00
Fractional coordinates of all 8 atoms:
1 Li 0.2500 0.7500 0.0000
2 Li 0.7500 0.2500 0.0000
3 Ac 0.2500 0.2500 0.3418
4 Ac 0.7500 0.7500 0.6582
5 Rh 0.2500 0.2500 0.8384
6 Rh 0.7500 0.7500 0.1616
7 N 0.2500 0.2500 0.6187
8 N 0.7500 0.7500 0.3813

Values from the calculation:
ΔE_f (raw) = -0.4152 eV/atom
Fermi-level density of states = 0.538 states/eV per atom

---

Density functional theory data (PBE) for a geometry-optimized Hf2PaNiN4 structure.

Unit cell a=5.6064 b=5.6064 c=11.0128 alpha=90.00 beta=90.00 gamma=146.50
Fractional coordinates of all 16 atoms:
1 Hf 0.1307 0.8693 0.5561
2 Hf 0.1307 0.8693 0.9439
3 Hf 0.8693 0.1307 0.0561
4 Hf 0.8693 0.1307 0.4439
5 Pa 0.3874 0.6126 0.7500
6 Pa 0.6126 0.3874 0.2500
7 Ni 0.3435 0.6565 0.2500
8 Ni 0.6565 0.3435 0.7500
9 N 0.0414 0.9586 0.7500
10 N 0.2256 0.7744 0.1152
11 N 0.2256 0.7744 0.3848
12 N 0.5000 0.5000 0.0000
13 N 0.5000 0.5000 0.5000
14 N 0.7744 0.2256 0.6152
15 N 0.7744 0.2256 0.8848
16 N 0.9586 0.0414 0.2500

Values from the calculation:
ΔE_f (raw) = -1.4431 eV/atom
Fermi-level density of states = 0.297 states/eV per atom

---

Density functional theory data (PBE) for a geometry-optimized KBa2Ge structure.

Unit cell a=8.3209 b=8.3209 c=8.3209 alpha=102.84 beta=102.84 gamma=123.74
Fractional coordinates of all 8 atoms:
1 K 0.0000 0.0000 0.0000
2 K 0.7500 0.2500 0.5000
3 Ba 0.2151 0.6250 0.0901
4 Ba 0.3750 0.4651 0.5901
5 Ba 0.5349 0.1250 0.9099
6 Ba 0.8750 0.7849 0.4099
7 Ge 0.2500 0.7500 0.5000
8 Ge 0.5000 0.5000 0.0000

Values from the calculation:
energy of formation = -0.064 eV per atom
Fermi-level density of states = 0.627 states/eV per atom

---

Density functional theory data (PBE) for a geometry-optimized Li5AgF8 structure.

Unit cell a=5.9822 b=5.9822 c=5.9822 alpha=103.64 beta=103.64 gamma=121.89
Fractional coordinates of all 14 atoms:
1 Li 0.0000 0.0000 0.0000
2 Li 0.0616 0.1526 0.4896
3 Li 0.4281 0.9384 0.0910
4 Li 0.6630 0.5719 0.5104
5 Li 0.8474 0.3370 0.9090
6 Ag 0.2500 0.7500 0.5000
7 F 0.2604 0.5819 0.1735
8 F 0.3625 0.1674 0.2998
9 F 0.4084 0.0869 0.8265
10 F 0.4181 0.5916 0.6784
11 F 0.8326 0.1324 0.1950
12 F 0.8676 0.0626 0.7002
13 F 0.9131 0.7396 0.3216
14 F 0.9374 0.6375 0.8050

Values from the calculation:
ΔE_f (raw) = -2.3046 eV/atom
relative energy among the computed polymorphs = 0.073 eV per atom

---

Density functional theory data (PBE) for a geometry-optimized HfTiAuO2 structure.

Unit cell a=4.1786 b=4.1786 c=4.9283 alpha=90.00 beta=90.00 gamma=90.00
Fractional coordinates of all 5 atoms:
1 Hf 0.0000 0.0000 0.0000
2 Ti 0.5000 0.5000 0.0000
3 Au 0.5000 0.5000 0.5000
4 O 0.0000 0.5000 0.5000
5 O 0.5000 0.0000 0.5000

Values from the calculation:
ΔE_f (raw) = 0.5939 eV/atom
Fermi-level density of states = 0.704 states/eV per atom

---

| no. | E (eV/atom) |
| --- | --- |
| 1 | -7.302 |
| 2 | -4.020 |
| 3 | -3.585 |
| 4 | -2.866 |
| 5 | -9.882 |
| 6 | -4.850 |
| 7 | -4.596 |
| 8 | -5.840 |
| 9 | -10.004 |
| 10 | -2.454 |
| 11 | -4.261 |
| 12 | -5.614 |